AgSb3PbS6 | PBE | relaxed

Cell: 7.169 7.169 19.678 Å, 90.00 90.00 147.61°
Sites, in units of the cell vectors:
Ag 0.059 0.941 0.500
Ag 0.941 0.059 0.000
Sb 0.112 0.888 0.277
Sb 0.352 0.648 0.580
Sb 0.380 0.620 0.187
Sb 0.620 0.380 0.687
Sb 0.648 0.352 0.080
Sb 0.888 0.112 0.777
Pb 0.179 0.821 0.889
Pb 0.821 0.179 0.389
S 0.019 0.981 0.632
S 0.170 0.830 0.396
S 0.258 0.742 0.741
S 0.259 0.741 0.045
S 0.440 0.560 0.472
S 0.470 0.530 0.300
S 0.530 0.470 0.800
S 0.560 0.440 0.972
S 0.741 0.259 0.545
S 0.742 0.258 0.241
S 0.830 0.170 0.896
S 0.981 0.019 0.132

Values from the calculation:
**Excess energy over the best structure of this formula in the dataset**: 0.00 kJ per mole of atoms
**E_tot**: -4.236 eV per atom
**DOS(E_F)**: 0.01 states/eV/f.u.